Entry 1:
A plane-wave DFT calculation with GGA-PBE was carried out for an optimized crystal structure of Pm4Pd5Au3.

a b c (Å): 4.927 7.388 8.614
angles (deg): 94.43 73.38 70.52
Fractional positions:
Pd  0.415  0.010  0.161
Pd  0.585  0.990  0.839
Pd  0.686  0.617  0.010
Pd  0.314  0.383  0.990
Pd  0.500  0.500  0.500
Pm  0.001  0.744  0.254
Pm  0.227  0.732  0.813
Pm  0.773  0.268  0.187
Pm  0.999  0.256  0.746
Au  0.000  0.500  0.500
Au  0.321  0.890  0.468
Au  0.679  0.110  0.532

Values from the calculation:
* calculated total energy: -61.310 eV/cell
* DFT formation energy: -0.543 eV per atom
* symmetry: C2/m

=====

Entry 2:
A plane-wave DFT calculation with GGA-PBE was carried out for an optimized crystal structure of Pm2Pd3Au3.

a b c (Å): 5.481 5.481 5.481
angles (deg): 94.39 94.39 85.61
Fractional positions:
Au  0.265  0.735  0.500
Au  0.500  0.265  0.265
Au  0.735  0.500  0.735
Pd  0.768  0.000  0.768
Pd  0.232  0.768  0.000
Pd  0.000  0.232  0.232
Pm  0.246  0.246  0.754
Pm  0.754  0.754  0.246

Values from the calculation:
* calculated total energy: -40.341 eV/cell
* DFT formation energy: -0.679 eV per atom
* symmetry: R32

=====

Entry 3:
A plane-wave DFT calculation with GGA-PBE was carried out for an optimized crystal structure of PmPd8Au2.

a b c (Å): 4.122 6.430 7.576
angles (deg): 104.88 105.79 90.00
Fractional positions:
Pd  0.138  0.189  0.277
Pd  0.316  0.090  0.631
Pd  0.953  0.279  0.906
Pd  0.684  0.910  0.369
Pd  0.862  0.811  0.723
Pd  0.409  0.536  0.817
Pd  0.591  0.464  0.183
Pd  0.047  0.721  0.094
Au  0.228  0.641  0.456
Au  0.772  0.359  0.544
Pm  0.500  0.000  0.000

Values from the calculation:
* calculated total energy: -56.309 eV/cell
* DFT formation energy: -0.315 eV per atom
* symmetry: C2/m

=====

Entry 4:
A plane-wave DFT calculation with GGA-PBE was carried out for an optimized crystal structure of Pm3Pd7Au2.

a b c (Å): 5.493 5.493 9.537
angles (deg): 73.26 73.26 60.00
Fractional positions:
Pd  0.588  0.082  0.743
Pd  0.412  0.918  0.257
Pd  0.918  0.412  0.257
Pd  0.412  0.412  0.257
Pd  0.500  0.500  0.500
Pd  0.082  0.588  0.743
Pd  0.588  0.588  0.743
Pm  0.000  0.000  0.000
Pm  0.861  0.861  0.416
Pm  0.139  0.139  0.584
Au  0.334  0.334  0.999
Au  0.666  0.666  0.001

Values from the calculation:
* calculated total energy: -65.600 eV/cell
* DFT formation energy: -0.704 eV per atom
* symmetry: R-3m

=====

Entry 5:
A plane-wave DFT calculation with GGA-PBE was carried out for an optimized crystal structure of Pm2Pd3Au2.

a b c (Å): 4.170 5.392 9.313
angles (deg): 124.92 90.00 112.75
Fractional positions:
Pm  0.424  0.847  0.224
Pm  0.576  0.153  0.776
Pd  0.000  0.000  0.500
Pd  0.673  0.347  0.148
Pd  0.327  0.653  0.852
Au  0.225  0.450  0.381
Au  0.775  0.550  0.619

Values from the calculation:
* calculated total energy: -36.102 eV/cell
* DFT formation energy: -0.638 eV per atom
* symmetry: C2/m

=====

Entry 6:
A plane-wave DFT calculation with GGA-PBE was carried out for an optimized crystal structure of PmPdAu2.

a b c (Å): 4.901 4.901 4.901
angles (deg): 60.00 60.00 60.00
Fractional positions:
Au  0.250  0.250  0.250
Au  0.750  0.750  0.750
Pm  0.000  0.000  0.000
Pd  0.500  0.500  0.500

Values from the calculation:
* calculated total energy: -19.021 eV/cell
* DFT formation energy: -0.631 eV per atom
* symmetry: Fm-3m

=====

Entry 7:
A plane-wave DFT calculation with GGA-PBE was carried out for an optimized crystal structure of PmPrPdAu.

a b c (Å): 5.198 5.198 5.198
angles (deg): 60.00 60.00 60.00
Fractional positions:
Pr  0.750  0.750  0.750
Pm  0.250  0.250  0.250
Au  0.000  0.000  0.000
Pd  0.500  0.500  0.500

Values from the calculation:
* calculated total energy: -20.962 eV/cell
* DFT formation energy: -0.740 eV per atom
* symmetry: F-43m

=====

Entry 8:
A plane-wave DFT calculation with GGA-PBE was carried out for an optimized crystal structure of PmPrPdAu.

a b c (Å): 3.917 4.766 5.839
angles (deg): 90.00 109.60 90.00
Fractional positions:
Pm  0.864  0.500  0.727
Pd  0.414  0.000  0.829
Pr  0.139  0.000  0.277
Au  0.583  0.500  0.167

Values from the calculation:
* calculated total energy: -21.216 eV/cell
* DFT formation energy: -0.804 eV per atom
* symmetry: Amm2

=====

Entry 9:
A plane-wave DFT calculation with GGA-PBE was carried out for an optimized crystal structure of Pm2Pd5PtAu2.

a b c (Å): 4.126 9.670 9.670
angles (deg): 90.00 90.00 90.00
Fractional positions:
Pd  0.500  0.302  0.556
Pd  0.500  0.698  0.444
Pd  0.500  0.556  0.698
Pd  0.500  0.056  0.802
Pd  0.500  0.500  0.000
Pd  0.500  0.000  0.500
Pd  0.500  0.944  0.198
Pd  0.500  0.802  0.944
Pd  0.500  0.198  0.056
Pd  0.500  0.444  0.302
Au  0.000  0.877  0.377
Au  0.000  0.377  0.123
Au  0.000  0.623  0.877
Au  0.000  0.123  0.623
Pm  0.000  0.176  0.324
Pm  0.000  0.324  0.824
Pm  0.000  0.676  0.176
Pm  0.000  0.824  0.676
Pt  0.000  0.000  0.000
Pt  0.000  0.500  0.500

Values from the calculation:
* calculated total energy: -107.160 eV/cell
* DFT formation energy: -0.552 eV per atom
* symmetry: P4/mbm

=====

Entry 10:
A plane-wave DFT calculation with GGA-PBE was carried out for an optimized crystal structure of PmPuPdAu.

a b c (Å): 5.119 5.119 5.119
angles (deg): 60.00 60.00 60.00
Site moments in Bohr magnetons follow the coordinates.
Fractional positions:
Au  0.000  0.000  0.000  0.03
Pu  0.750  0.750  0.750  5.36
Pd  0.500  0.500  0.500  -0.01
Pm  0.250  0.250  0.250  0.10

Values from the calculation:
* calculated total energy: -29.766 eV/cell
* DFT formation energy: -0.553 eV per atom
* symmetry: F-43m

=====

Entry 11:
A plane-wave DFT calculation with GGA-PBE was carried out for an optimized crystal structure of PmPuPdAu.

a b c (Å): 3.881 4.605 5.841
angles (deg): 90.00 109.40 90.00
Site moments in Bohr magnetons follow the coordinates.
Fractional positions:
Pm  0.142  0.000  0.283  0.06
Pu  0.862  0.500  0.725  5.34
Pd  0.413  0.000  0.826  -0.04
Au  0.583  0.500  0.166  0.02

Values from the calculation:
* calculated total energy: -29.953 eV/cell
* DFT formation energy: -0.600 eV per atom
* symmetry: Amm2

=====

Entry 12:
A plane-wave DFT calculation with GGA-PBE was carried out for an optimized crystal structure of Pm2Sb4Pd3Au.

a b c (Å): 4.511 4.511 11.396
angles (deg): 90.00 90.00 90.00
Fractional positions:
Pd  0.000  0.000  0.500
Pd  0.500  0.000  0.863
Pd  0.000  0.500  0.137
Pm  0.000  0.500  0.733
Pm  0.500  0.000  0.267
Sb  0.000  0.000  0.000
Sb  0.500  0.500  0.000
Sb  0.500  0.000  0.637
Sb  0.000  0.500  0.363
Au  0.500  0.500  0.500

Values from the calculation:
* calculated total energy: -51.919 eV/cell
* uncorrected formation energy: -707 meV/atom
* symmetry: P-4m2

=====

Entry 13:
A plane-wave DFT calculation with GGA-PBE was carried out for an optimized crystal structure of PmScPdAu.

a b c (Å): 4.974 4.974 4.974
angles (deg): 60.00 60.00 60.00
Fractional positions:
Pd  0.250  0.250  0.250
Au  0.750  0.750  0.750
Sc  0.000  0.000  0.000
Pm  0.500  0.500  0.500

Values from the calculation:
* calculated total energy: -22.561 eV/cell
* DFT formation energy: -0.752 eV per atom
* symmetry: F-43m

=====

Entry 14:
A plane-wave DFT calculation with GGA-PBE was carried out for an optimized crystal structure of PmScPdAu.

a b c (Å): 3.673 4.694 5.530
angles (deg): 90.00 109.40 90.00
Fractional positions:
Pd  0.587  0.500  0.175
Pm  0.858  0.500  0.715
Sc  0.136  0.000  0.273
Au  0.419  0.000  0.838

Values from the calculation:
* calculated total energy: -22.689 eV/cell
* DFT formation energy: -0.784 eV per atom
* symmetry: Amm2

=====

Entry 15:
A plane-wave DFT calculation with GGA-PBE was carried out for an optimized crystal structure of Pm2Si4Pd3Au.

a b c (Å): 4.258 4.258 10.020
angles (deg): 90.00 90.00 90.00
Fractional positions:
Pd  0.000  0.000  0.500
Pd  0.500  0.000  0.881
Pd  0.000  0.500  0.119
Au  0.500  0.500  0.500
Si  0.500  0.000  0.639
Si  0.500  0.500  0.000
Si  0.000  0.500  0.361
Si  0.000  0.000  0.000
Pm  0.500  0.000  0.244
Pm  0.000  0.500  0.756

Values from the calculation:
* calculated total energy: -58.440 eV/cell
* uncorrected formation energy: -839 meV/atom
* symmetry: P-4m2

=====

Entry 16:
A plane-wave DFT calculation with GGA-PBE was carried out for an optimized crystal structure of Pm3Si2Pd9Au.

a b c (Å): 5.748 5.748 10.850
angles (deg): 90.00 90.00 120.00
Fractional positions:
Au  0.000  0.000  0.500
Si  0.333  0.667  0.157
Si  0.667  0.333  0.843
Pd  0.500  0.500  0.000
Pd  0.325  0.163  0.699
Pd  0.163  0.325  0.301
Pd  0.163  0.837  0.301
Pd  0.837  0.675  0.699
Pd  0.500  0.000  0.000
Pd  0.837  0.163  0.699
Pd  0.000  0.500  0.000
Pd  0.675  0.837  0.301
Pm  0.667  0.333  0.400
Pm  0.333  0.667  0.600
Pm  0.000  0.000  0.000

Values from the calculation:
* calculated total energy: -84.294 eV/cell
* uncorrected formation energy: -612 meV/atom
* symmetry: P-3m1

=====

Entry 17:
A plane-wave DFT calculation with GGA-PBE was carried out for an optimized crystal structure of Pm3Si6Pd2Au.

a b c (Å): 5.787 5.787 8.278
angles (deg): 90.00 90.00 120.00
Fractional positions:
Pm  0.000  0.000  0.000
Pm  0.333  0.667  0.610
Pm  0.667  0.333  0.390
Au  0.000  0.000  0.500
Si  0.807  0.193  0.726
Si  0.386  0.193  0.726
Si  0.193  0.386  0.274
Si  0.807  0.614  0.726
Si  0.614  0.807  0.274
Si  0.193  0.807  0.274
Pd  0.667  0.333  0.977
Pd  0.333  0.667  0.023

Values from the calculation:
* calculated total energy: -65.407 eV/cell
* uncorrected formation energy: -413 meV/atom
* symmetry: P-3m1

=====

Entry 18:
A plane-wave DFT calculation with GGA-PBE was carried out for an optimized crystal structure of Pm2Si3Pd4Au.

a b c (Å): 4.257 4.257 10.330
angles (deg): 90.00 90.00 90.00
Fractional positions:
Pm  0.500  0.000  0.254
Pm  0.000  0.500  0.746
Pd  0.000  0.500  0.347
Pd  0.500  0.500  0.000
Pd  0.500  0.000  0.653
Pd  0.000  0.000  0.000
Si  0.500  0.000  0.880
Si  0.000  0.000  0.500
Si  0.000  0.500  0.120
Au  0.500  0.500  0.500

Values from the calculation:
* calculated total energy: -57.735 eV/cell
* uncorrected formation energy: -792 meV/atom
* symmetry: P-4m2

=====

Entry 19:
A plane-wave DFT calculation with GGA-PBE was carried out for an optimized crystal structure of PmSiPdAu.

a b c (Å): 4.805 4.805 4.805
angles (deg): 60.00 60.00 60.00
Fractional positions:
Pd  0.000  0.000  0.000
Pm  0.250  0.250  0.250
Si  0.750  0.750  0.750
Au  0.500  0.500  0.500

Values from the calculation:
* calculated total energy: -20.636 eV/cell
* uncorrected formation energy: -498 meV/atom
* symmetry: F-43m

=====

Entry 20:
A plane-wave DFT calculation with GGA-PBE was carried out for an optimized crystal structure of PmSmPdAu.

a b c (Å): 5.148 5.148 5.148
angles (deg): 60.00 60.00 60.00
Fractional positions:
Pm  0.750  0.750  0.750
Pd  0.500  0.500  0.500
Sm  0.250  0.250  0.250
Au  0.000  0.000  0.000

Values from the calculation:
* calculated total energy: -21.043 eV/cell
* DFT formation energy: -0.776 eV per atom
* symmetry: F-43m